A relaxed LaCoNO crystal. Source: OQMD via LeMat-Bulk, functional PBE with a Hubbard U.

Output
Spin magnetization   0.75 μB/atom
Raw total energy   -7.106 eV per atom
Theoretical density   6.4 g cm⁻³
Energy above the lowest structure with this stoichiometry   0.014 eV/atom
Crystal system   orthorhombic

```
data_LaCoNO
_cell_length_a 3.547
_cell_length_b 5.736
_cell_length_c 5.789
_cell_angle_alpha 90.00
_cell_angle_beta 90.00
_cell_angle_gamma 90.00
_symmetry_space_group_name_H-M 'P m c 21'
_symmetry_Int_Tables_number 26
_symmetry_space_group_name_Hall 'P 2c -2'
loop_
_atom_site_label
_atom_site_type_symbol
_atom_site_fract_x
_atom_site_fract_y
_atom_site_fract_z
La1 La 0.000 0.218 0.000
Co1 Co 0.500 0.234 0.522
N1 N 0.500 0.051 0.244
O1 O 0.000 0.383 0.600
```